TlCr2Se: relaxed, GGA-PBE.

Summary:
The calculation puts the offset from the most stable computed form at 259 meV per atom. Its raw formation energy is 0.4575 eV/atom. The space group is No. 71.

a b c (Å): 5.419 5.419 5.419
angles (deg): 142.63 116.40 76.15
Sites, in units of the cell vectors:
Cr 0.971 0.971 0.000
Cr 0.529 0.529 0.000
Se 0.750 0.250 0.500
Tl 0.250 0.750 0.500

***

TlCrSe2: relaxed, GGA-PBE.

Summary:
Its raw formation energy is 0.0974 eV/atom. The space group is No. 12.

a b c (Å): 5.625 5.625 4.226
angles (deg): 65.63 65.63 84.73
Sites, in units of the cell vectors:
Cr 0.000 0.500 0.500
Se 0.000 0.000 0.000
Se 0.500 0.500 0.000
Tl 0.500 0.000 0.500